No. 1
DFT (PBE) results for crystalline TeOsPb2 at its relaxed geometry.

Crystal system = monoclinic
Energy = -4.56 eV per atom
Raw formation energy = 0.8827 eV per atom
Symmetry = C2/m (12)

Cell lengths 5.360, 5.360, 3.539 Å; angles 90.48, 90.48, 106.22 degrees
Fractional positions:
Pb (0.000, 0.000, 0.000)
Pb (0.500, 0.500, 0.000)
Te (0.500, 0.000, 0.500)
Os (0.000, 0.500, 0.500)


No. 2
DFT (PBE) results for crystalline AcIn5Pd3 at its relaxed geometry.

Crystal system = orthorhombic
Energy = -4.17 eV per atom
Symmetry = Cmcm (63)

Cell lengths 4.332, 7.433, 13.847 Å; angles 90.00, 90.00, 106.94 degrees
Fractional positions:
Ac (0.833, 0.666, 0.750)
In (0.797, 0.593, 0.062)
In (0.203, 0.407, 0.562)
In (0.797, 0.593, 0.438)
Pd (0.852, 0.705, 0.250)
In (0.000, 0.000, 0.000)
Pd (0.148, 0.295, 0.750)
Pd (0.391, 0.783, 0.555)
In (0.000, 0.000, 0.500)
In (0.439, 0.878, 0.351)
In (0.561, 0.122, 0.649)
In (0.561, 0.122, 0.851)
In (0.203, 0.407, 0.938)
Pd (0.391, 0.783, 0.945)
In (0.439, 0.878, 0.149)
Ac (0.167, 0.334, 0.250)
Pd (0.609, 0.217, 0.445)
Pd (0.609, 0.217, 0.055)


No. 3
DFT (PBE) results for crystalline BeCr2Pt at its relaxed geometry.

Crystal system = monoclinic
Energy = -7.29 eV per atom
Symmetry = Cm (8)

Cell lengths 4.250, 4.250, 4.684 Å; angles 84.17, 84.17, 35.27 degrees
Fractional positions:
Pt (0.498, 0.498, 0.528)
Be (0.754, 0.754, 0.750)
Cr (0.240, 0.240, 0.218)
Cr (0.008, 0.008, 0.004)


No. 4
DFT (PBE) results for crystalline Y2Ge2Br at its relaxed geometry.

Crystal system = tetragonal
Energy = -5.71 eV per atom
Raw formation energy = -0.9415 eV per atom
Symmetry = P4/mbm (127)

Cell lengths 7.848, 7.848, 3.980 Å; angles 90.00, 90.00, 90.00 degrees
Fractional positions:
Y (0.180, 0.320, 0.000)
Y (0.820, 0.680, 0.000)
Y (0.680, 0.180, 0.000)
Y (0.320, 0.820, 0.000)
Br (0.500, 0.500, 0.000)
Ge (0.112, 0.612, 0.500)
Ge (0.888, 0.388, 0.500)
Br (0.000, 0.000, 0.000)
Ge (0.388, 0.112, 0.500)
Ge (0.612, 0.888, 0.500)


No. 5
DFT (PBE) results for crystalline NaGd2Mg at its relaxed geometry.

Crystal system = trigonal
Energy = -7.59 eV per atom
Symmetry = R-3m (166)

Cell lengths 3.444, 3.444, 12.549 Å; angles 82.11, 82.11, 60.00 degrees
Last column: magnetic moment on the atom in μB.
Fractional positions:
Mg (0.500, 0.500, 0.500)  -0.01
Gd (0.905, 0.905, 0.284)  7.20
Gd (0.095, 0.095, 0.716)  7.20
Na (0.000, 0.000, 0.000)  0.00


No. 6
DFT (PBE) results for crystalline Pu2GeS at its relaxed geometry.

Crystal system = tetragonal
Energy = -10.28 eV per atom
Raw formation energy = -0.9264 eV per atom
Symmetry = P4/mmm (123)

Cell lengths 3.339, 3.339, 7.601 Å; angles 90.00, 90.00, 90.00 degrees
Last column: magnetic moment on the atom in μB.
Fractional positions:
Ge (0.500, 0.500, 0.500)  -0.08
S (0.500, 0.500, 0.000)  -0.13
Pu (0.000, 0.000, 0.767)  5.49
Pu (0.000, 0.000, 0.233)  5.49


No. 7
DFT (PBE) results for crystalline LiPm2NdIn4 at its relaxed geometry.

Crystal system = trigonal
Energy = -3.82 eV per atom
Symmetry = R-3m (166)

Cell lengths 5.310, 5.310, 9.460 Å; angles 73.70, 73.70, 60.00 degrees
Fractional positions:
In (0.874, 0.874, 0.379)
Pm (0.244, 0.244, 0.267)
Li (0.500, 0.500, 0.500)
Pm (0.756, 0.756, 0.733)
In (0.126, 0.126, 0.621)
In (0.623, 0.623, 0.131)
Nd (0.000, 0.000, 0.000)
In (0.377, 0.377, 0.869)


No. 8
DFT (PBE) results for crystalline LiZr2InI at its relaxed geometry.

Crystal system = tetragonal
Energy = -4.01 eV per atom
Raw formation energy = 0.6490 eV per atom
Symmetry = P4/mmm (123)

Cell lengths 5.524, 4.765, 5.524 Å; angles 90.00, 90.00, 90.00 degrees
Last column: magnetic moment on the atom in μB.
Fractional positions:
Zr (0.500, 0.000, 0.000)  0.82
In (0.000, 0.000, 0.000)  -0.01
I (0.500, 0.500, 0.500)  -0.01
Zr (0.000, 0.000, 0.500)  0.87
Li (0.000, 0.500, 0.000)  0.00


Which value of energy does entry 2 give?
-4.17 eV per atom